[1]
This record from the Alexandria database describes TbEuMgSc after structural relaxation. The functional is GGA-PBE.

Results
Size of the total moment: 7.1 μB/f.u.
ρ: 5.4 g cm⁻³

a b c (Å): 7.7644 7.7644 7.7644
angles (deg): 90.00 90.00 90.00
Space group F-43m (No. 216)
One atom of each set of equivalent atoms:
Tb (0.0000, 0.0000, 0.0000) [4 per cell]
Eu (0.0000, 0.0000, 0.5000) [4 per cell]
Mg (0.2500, 0.2500, 0.2500) [4 per cell]
Sc (0.2500, 0.2500, 0.7500) [4 per cell]


[2]
This record from the Alexandria database describes Tb7Nd2Tm2 after structural relaxation. The functional is GGA-PBE.

Results
Size of the total moment: 0.0 μB/f.u.
ρ: 8.0 g cm⁻³

a b c (Å): 11.2768 11.4957 6.0777
angles (deg): 90.00 113.42 90.00
Space group C2/m (No. 12)
One atom of each set of equivalent atoms:
Tb (0.0000, 0.0000, 0.0000) [2 per cell]
Tb (0.1763, 0.2361, 0.1796) [8 per cell]
Tb (0.2262, 0.0000, 0.5833) [4 per cell]
Nd (0.0853, 0.5000, 0.8033) [4 per cell]
Tm (0.0000, 0.2156, 0.5000) [4 per cell]


[3]
This record from the Alexandria database describes Ba2AlAgPt after structural relaxation. The functional is GGA-PBE.

Results
Size of the total moment: 0.0 μB/f.u.
ρ: 5.5 g cm⁻³

a b c (Å): 6.1923 6.1923 4.7896
angles (deg): 90.00 90.00 90.00
Space group P4/mmm (No. 123)
One atom of each set of equivalent atoms:
Ba (0.0000, 0.5000, 0.0000) [2 per cell]
Al (0.0000, 0.0000, 0.5000) [1 per cell]
Ag (0.5000, 0.5000, 0.5000) [1 per cell]
Pt (0.0000, 0.0000, 0.0000) [1 per cell]


| no. | formation enthalpy at 0 K (meV per atom) | E_tot (eV per atom) |
| --- | --- | --- |
| 1 | 84 | -5.624 |
| 2 | 149 | -4.478 |
| 3 | -397 | -3.693 |